RbCeS2 GGA-PBEsol optimized geometry; formation energy (no corrections) = -1.73 eV/atom; total moment = 1.01 μB per formula unit; VASP energy = -0.214 Ha/atom; SG = R-3m (166)
1.0
2.0798 1.2007 7.5621
-2.0798 1.2007 7.5621
0.0000 -2.4015 7.5621
Rb Ce S
1 1 2
Cartesian
0.0000 0.0000 0.0000
0.0000 0.0000 11.3432
0.0000 0.0000 5.2694
0.0000 0.0000 17.4170